# SmTm2Pu GGA-PBE optimized geometry
# polymorph energy (0 for the lowest one)	9.04	kJ/mol of atoms
# formation energy	186	meV/atom
# crystal system	cubic
# density	9.95	Mg/m³
# symmetry	No. 225
# DFT total energy	-27.25	eV/cell
data_SmTm2Pu
_chemical_formula_sum 'Sm1 Tm2 Pu1'
_space_group_name_H-M_alt 'P 1'
_space_group_IT_number 1
_cell_length_a 5.5704
_cell_length_b 5.5704
_cell_length_c 5.5704
_cell_angle_alpha 60.00
_cell_angle_beta 60.00
_cell_angle_gamma 60.00
loop_
_space_group_symop_operation_xyz
'x,y,z'
loop_
_atom_site_label
_atom_site_type_symbol
_atom_site_fract_x
_atom_site_fract_y
_atom_site_fract_z
_atom_site_occupancy
Tm1 Tm 0.2500 0.2500 0.2500 1
Tm2 Tm 0.7500 0.7500 0.7500 1
Sm1 Sm 0.0000 0.0000 0.0000 1
Pu1 Pu 0.5000 0.5000 0.5000 1



# Tb8Tm6Sc GGA-PBE optimized geometry
# polymorph energy (0 for the lowest one)	0.00	kJ/mol of atoms
# formation energy	151	meV/atom
# crystal system	trigonal
# density	8.25	Mg/m³
# symmetry	No. 147
# DFT total energy	-67.94	eV/cell
data_Tb8Tm6Sc
_chemical_formula_sum 'Tb8 Tm6 Sc1'
_space_group_name_H-M_alt 'P 1'
_space_group_IT_number 1
_cell_length_a 5.7064
_cell_length_b 9.7444
_cell_length_c 9.7444
_cell_angle_alpha 120.00
_cell_angle_beta 90.00
_cell_angle_gamma 90.00
loop_
_space_group_symop_operation_xyz
'x,y,z'
loop_
_atom_site_label
_atom_site_type_symbol
_atom_site_fract_x
_atom_site_fract_y
_atom_site_fract_z
_atom_site_occupancy
Tb1 Tb 0.7651 0.0514 0.2720 1
Tb2 Tb 0.7651 0.7280 0.7793 1
Tb3 Tb 0.7651 0.2207 0.9486 1
Tb4 Tb 0.2349 0.9486 0.7280 1
Tb5 Tb 0.2349 0.2720 0.2207 1
Tb6 Tb 0.2349 0.7793 0.0514 1
Tb7 Tb 0.7635 0.3333 0.6667 1
Tb8 Tb 0.2365 0.6667 0.3333 1
Tm1 Tm 0.7437 0.6202 0.0922 1
Tm2 Tm 0.7437 0.9078 0.5280 1
Tm3 Tm 0.7437 0.4720 0.3798 1
Tm4 Tm 0.2563 0.3798 0.9078 1
Tm5 Tm 0.2563 0.0922 0.4720 1
Tm6 Tm 0.2563 0.5280 0.6202 1
Sc1 Sc 0.5000 0.0000 0.0000 1